Ta2SiPd: optimized geometry, PBE.

Structure (POSCAR):
```
Ta2SiPd
1.0
-3.5597 3.5597 2.7423
3.5597 -3.5597 2.7423
3.5597 3.5597 -2.7423
Ta Si Pd
4 2 2
direct
0.1156 0.6250 0.9906
0.3750 0.3656 0.4906
0.6344 0.1250 0.0094
0.8750 0.8844 0.5094
0.0000 0.0000 0.0000
0.7500 0.2500 0.5000
0.2500 0.7500 0.5000
0.5000 0.5000 0.0000
```

Summary:
Energy, eV per atom: -8.479
E_form (uncorrected), eV per atom: 0.101
N(E_F), states/eV/f.u.: 2.788
V, A^3/atom: 17.4